Record 1
Computed, not measured: Li2MgSi at its PBEsol-relaxed geometry at the SCAN level of DFT.

Output
As for the total magnetic moment: 0.0 μB per formula unit. The uncorrected formation energy comes out at -0.2575 eV per atom.

Cell lengths 4.472, 4.472, 4.472 Å; angles 60.00, 60.00, 60.00 degrees
Fractional positions:
Li1 0.000 0.000 0.000
Li2 0.250 0.250 0.250
Mg1 0.500 0.500 0.500
Si1 0.750 0.750 0.750

=====

Record 2
Computed, not measured: KLiCd2 at its PBEsol-relaxed geometry at the SCAN level of DFT.

Output
As for the total magnetic moment: 0.0 μB per formula unit. As for the formation energy: 0.1 eV/f.u. Its energy above the most stable polymorph in this dataset is 141.0 meV/atom.

Cell lengths 5.385, 5.385, 5.385 Å; angles 60.00, 60.00, 60.00 degrees
Fractional positions:
K1 0.000 0.000 0.000
Li1 0.500 0.500 0.500
Cd1 0.250 0.250 0.250
Cd2 0.750 0.750 0.750